Computed, not measured: a crystal of K4ZnO3 relaxed with PBEsol at the meta-GGA SCAN level of DFT.

ΔE_f (raw) ... -1.408 eV/atom
Space-group type ... P-1, No. 2
V ... 610.4 Å³/cell
Fermi-level density of states ... 0.0 states/eV/f.u.
Total magnetic moment ... 0.00 μB per cell

a b c (Å): 6.8751 8.8253 10.9750
angles (deg): 77.49 89.09 70.18
Element x y z (fractional)
K 0.0051 0.4727 0.1985
K 0.1209 0.9071 0.6678
K 0.1336 0.0831 0.8831
K 0.1906 0.3546 0.5794
K 0.2784 0.6558 0.9824
K 0.3412 0.1232 0.3776
K 0.3878 0.8641 0.2063
K 0.4818 0.5544 0.7044
K 0.5182 0.4456 0.2956
K 0.6122 0.1359 0.7937
K 0.6588 0.8768 0.6224
K 0.7216 0.3442 0.0176
K 0.8094 0.6454 0.4206
K 0.8664 0.9169 0.1169
K 0.8791 0.0929 0.3322
K 0.9949 0.5273 0.8015
Zn 0.2109 0.7209 0.4422
Zn 0.3346 0.2312 0.0609
Zn 0.6654 0.7688 0.9391
Zn 0.7891 0.2791 0.5578
O 0.0616 0.6743 0.5850
O 0.1063 0.1584 0.1066
O 0.1344 0.6911 0.2855
O 0.3608 0.3621 0.9034
O 0.4219 0.8055 0.4674
O 0.4426 0.8298 0.8160
O 0.5574 0.1702 0.1840
O 0.5781 0.1945 0.5326
O 0.6392 0.6379 0.0966
O 0.8656 0.3089 0.7145
O 0.8937 0.8416 0.8934
O 0.9384 0.3257 0.4150

=====

Computed, not measured: a crystal of ScTa2SnF relaxed with PBEsol at the meta-GGA SCAN level of DFT.

ΔE_f (raw) ... 0.893 eV/atom
Space-group type ... P4/mmm, No. 123
V ... 114.8 Å³/cell
Fermi-level density of states ... 4.8 states/eV/f.u.
Total magnetic moment ... 1.81 μB per cell

a b c (Å): 5.2824 5.2824 4.1134
angles (deg): 90.00 90.00 90.00
Element x y z (fractional)
Sc 0.0000 0.0000 0.0000
Ta 0.0000 0.5000 0.5000
Ta 0.5000 0.0000 0.5000
Sn 0.5000 0.5000 0.5000
F 0.5000 0.5000 0.0000

=====

Copy entry 2 word for word.
Computed, not measured: a crystal of ScTa2SnF relaxed with PBEsol at the meta-GGA SCAN level of DFT.

ΔE_f (raw) ... 0.893 eV/atom
Space-group type ... P4/mmm, No. 123
V ... 114.8 Å³/cell
Fermi-level density of states ... 4.8 states/eV/f.u.
Total magnetic moment ... 1.81 μB per cell

a b c (Å): 5.2824 5.2824 4.1134
angles (deg): 90.00 90.00 90.00
Element x y z (fractional)
Sc 0.0000 0.0000 0.0000
Ta 0.0000 0.5000 0.5000
Ta 0.5000 0.0000 0.5000
Sn 0.5000 0.5000 0.5000
F 0.5000 0.5000 0.0000